# 1
A relaxed TmSc4Ru2 crystal. Source: Alexandria, functional PBE.

a = 7.319 Å, b = 5.884 Å, c = 7.521 Å
α = 90.00°, β = 111.94°, γ = 90.00°
Space group P2_1/m (No. 11)
Asymmetric unit:
Tm1 0.016 0.250 0.160
Sc1 0.241 0.000 0.584
Sc2 0.332 0.750 0.255
Sc3 0.388 0.250 0.022
Ru1 0.029 0.250 0.747
Ru2 0.425 0.250 0.379

Properties
For the formation enthalpy at 0 K, the calculation gives -0.36 eV per atom. The crystal system is monoclinic. For the density, the calculation gives 6.1 g/cm³.



# 2
A relaxed Sm4ZnAu3 crystal. Source: Alexandria, functional PBE.

a = 3.676 Å, b = 3.676 Å, c = 14.562 Å
α = 90.00°, β = 90.00°, γ = 90.00°
Space group P4/mmm (No. 123)
Asymmetric unit:
Sm1 0.000 0.000 0.123
Sm2 0.000 0.000 0.374
Zn1 0.500 0.500 0.000
Au1 0.500 0.500 0.246
Au2 0.500 0.500 0.500

Properties
For the formation enthalpy at 0 K, the calculation gives -0.68 eV per atom. The crystal system is tetragonal. For the density, the calculation gives 10.6 g/cm³.



# 3
A relaxed KCdOs crystal. Source: Alexandria, functional PBE.

a = 3.026 Å, b = 4.800 Å, c = 16.850 Å
α = 90.00°, β = 90.00°, γ = 90.00°
Space group Fmm2 (No. 42)
Asymmetric unit:
K1 0.000 0.000 0.000
Cd1 0.000 0.000 0.309
Os1 0.000 0.000 0.664

Properties
For the formation enthalpy at 0 K, the calculation gives 0.92 eV per atom. The crystal system is orthorhombic. For the density, the calculation gives 9.3 g/cm³. The energy above the lowest structure with this stoichiometry comes out at 0.062 eV per atom.



# 4
A relaxed SmMgCuAg crystal. Source: Alexandria, functional PBE.

a = 6.939 Å, b = 6.939 Å, c = 6.939 Å
α = 90.00°, β = 90.00°, γ = 90.00°
Space group F-43m (No. 216)
Asymmetric unit:
Sm1 0.000 0.000 0.000
Mg1 0.000 0.000 0.500
Cu1 0.250 0.250 0.750
Ag1 0.250 0.250 0.250

Properties
For the formation enthalpy at 0 K, the calculation gives -0.21 eV per atom. The crystal system is cubic. For the density, the calculation gives 6.9 g/cm³.



no.,final energy (eV/atom)
1,-7.26
2,-4.43
3,-3.49
4,-3.53